The following is a DFT calculation (meta-GGA SCAN) of a crystal of NbRe2Tc relaxed with PBEsol.

abc: 6.2449 6.2449 6.2449
angles: 90.00 90.00 90.00
Closest atoms and distances in Å follow each position.
Space group Fm-3m (No. 225)
One atom of each set of equivalent atoms:
Nb (0.0000, 0.0000, 0.0000) x4  8 Re 2.70
Re (0.2500, 0.2500, 0.2500) x8  4 Nb 2.70, 4 Tc 2.70
Tc (0.0000, 0.0000, 0.5000) x4  8 Re 2.70

Energy of formation from the pure elements = 4 meV per atom


The following is a DFT calculation (meta-GGA SCAN) of a crystal of YNb2ReTc relaxed with PBEsol.

abc: 4.6547 4.6547 5.0012
angles: 90.00 90.00 90.00
Closest atoms and distances in Å follow each position.
Space group P4/mmm (No. 123)
One atom of each set of equivalent atoms:
Y (0.0000, 0.0000, 0.0000) x1  2 Tc 2.50
Nb (0.0000, 0.5000, 0.5000) x2  2 Tc 2.33
Re (0.5000, 0.5000, 0.0000) x1  4 Y 3.29, 8 Nb 3.42
Tc (0.0000, 0.0000, 0.5000) x1  4 Nb 2.33, 2 Y 2.50

Energy of formation from the pure elements = 1413 meV per atom


The following is a DFT calculation (meta-GGA SCAN) of a crystal of NbReTe3 relaxed with PBEsol.

abc: 5.3252 5.3252 5.3252
angles: 90.00 90.00 90.00
Closest atoms and distances in Å follow each position.
Space group Pm-3m (No. 221)
One atom of each set of equivalent atoms:
Nb (0.0000, 0.0000, 0.0000) x1  6 Te 2.66
Re (0.5000, 0.5000, 0.5000) x1  12 Te 3.77
Te (0.0000, 0.0000, 0.5000) x3  2 Nb 2.66


The following is a DFT calculation (meta-GGA SCAN) of a crystal of NbRe2W2 relaxed with PBEsol.

abc: 4.0741 4.0741 10.9528
angles: 90.00 90.00 90.00
Closest atoms and distances in Å follow each position.
Space group I4/mmm (No. 139)
One atom of each set of equivalent atoms:
Nb (0.0000, 0.0000, 0.0000) x2  8 W 3.15, 8 Re 3.41
Re (0.0000, 0.5000, 0.2500) x4  4 W 2.51
W (0.0000, 0.0000, 0.3838) x4  4 Re 2.51, 1 W 2.55

Energy of formation from the pure elements = 675 meV per atom


The following is a DFT calculation (meta-GGA SCAN) of a crystal of ZrNbReW2 relaxed with PBEsol.

abc: 4.6878 4.6878 4.7280
angles: 90.00 90.00 90.00
Closest atoms and distances in Å follow each position.
Space group P4/mmm (No. 123)
One atom of each set of equivalent atoms:
Zr (0.0000, 0.0000, 0.0000) x1  4 Re 3.31, 8 W 3.33
Nb (0.5000, 0.5000, 0.5000) x1  4 W 2.34, 2 Re 2.36
Re (0.5000, 0.5000, 0.0000) x1  2 Nb 2.36
W (0.0000, 0.5000, 0.5000) x2  2 Nb 2.34

Energy of formation from the pure elements = 1891 meV per atom


The following is a DFT calculation (meta-GGA SCAN) of a crystal of Nb4Rh relaxed with PBEsol.

abc: 3.3648 4.4784 22.3301
angles: 90.00 90.00 90.00
Closest atoms and distances in Å follow each position.
Space group Fmmm (No. 69)
One atom of each set of equivalent atoms:
Nb (0.0000, 0.0000, 0.0926) x8  2 Rh 2.67, 6 Nb 2.80-2.88
Nb (0.0000, 0.0000, 0.3026) x8  8 Nb 2.80-2.89
Rh (0.0000, 0.0000, 0.5000) x4  4 Nb 2.67, 4 Rh 2.80

Energy of formation from the pure elements = -148 meV per atom


Number 1: total moment 0.00 μB/cell, calculated total energy -52.5922 eV/atom. Number 2: total moment 0.76 μB/cell, calculated total energy -38.6389 eV/atom. Number 3: total moment 5.34 μB/cell, calculated total energy -41.8207 eV/atom. Number 4: total moment 0.00 μB/cell, calculated total energy -62.2647 eV/atom. Number 5: total moment 0.00 μB/cell, calculated total energy -52.9689 eV/atom. Number 6: total moment 0.00 μB/cell, calculated total energy -33.4063 eV/atom.